1.
Here is a relaxed structure of Mg3In3IrRh2 from the Alexandria database. Energies are from GGA-PBE.

Geometry as CIF:
```
data_Mg3In3IrRh2
_space_group_name_H-M_alt 'P -6 2 m'
_space_group_IT_number 189
_space_group_name_Hall 'P -6 -2'
_cell_length_a 7.6601
_cell_length_b 7.6601
_cell_length_c 3.1723
_cell_angle_alpha 90.00
_cell_angle_beta 90.00
_cell_angle_gamma 120.00
loop_
_atom_site_label
_atom_site_type_symbol
_atom_site_fract_x
_atom_site_fract_y
_atom_site_fract_z
Mg1 Mg 0.0000 0.2795 0.0000
In1 In 0.0000 0.6198 0.5000
Ir1 Ir 0.0000 0.0000 0.5000
Rh1 Rh 0.3333 0.6667 0.0000
```

***

2.
Here is a relaxed structure of Na2SrHfCu from the Alexandria database. Energies are from GGA-PBE.

Geometry as CIF:
```
data_Na2SrHfCu
_space_group_name_H-M_alt 'P 4/m m m'
_space_group_IT_number 123
_space_group_name_Hall '-P 4 2'
_cell_length_a 5.909
_cell_length_b 5.909
_cell_length_c 4.922
_cell_angle_alpha 90.00
_cell_angle_beta 90.00
_cell_angle_gamma 90.00
loop_
_atom_site_label
_atom_site_type_symbol
_atom_site_fract_x
_atom_site_fract_y
_atom_site_fract_z
Na1 Na 0.000 0.500 0.000
Sr1 Sr 0.000 0.000 0.500
Hf1 Hf 0.500 0.500 0.000
Cu1 Cu 0.500 0.500 0.500
```

***

3.
# ZnFeRe GGA-PBE optimized geometry
# relative energy among the computed polymorphs	0	meV/atom
data_ZnFeRe
_space_group_name_H-M_alt 'I 4 m m'
_space_group_IT_number 107
_space_group_name_Hall 'I 4 -2'
_cell_length_a 2.755
_cell_length_b 2.755
_cell_length_c 10.345
_cell_angle_alpha 90.00
_cell_angle_beta 90.00
_cell_angle_gamma 90.00
loop_
_atom_site_label
_atom_site_type_symbol
_atom_site_fract_x
_atom_site_fract_y
_atom_site_fract_z
Zn1 Zn 0.000 0.000 0.000
Fe1 Fe 0.000 0.000 0.338
Re1 Re 0.000 0.000 0.689

***

4.
# Ca2AlIn GGA-PBE optimized geometry
# relative energy among the computed polymorphs	174	meV/atom
data_Ca2AlIn
_space_group_name_H-M_alt 'P 4 m m'
_space_group_IT_number 99
_cell_length_a 3.639
_cell_length_b 3.639
_cell_length_c 8.832
_cell_angle_alpha 90.00
_cell_angle_beta 90.00
_cell_angle_gamma 90.00
loop_
_space_group_symop_operation_xyz
'x,y,z'
'-y,x,z'
'-x,-y,z'
'y,-x,z'
'-x,y,z'
'y,x,z'
'x,-y,z'
'-y,-x,z'
loop_
_atom_site_label
_atom_site_type_symbol
_atom_site_fract_x
_atom_site_fract_y
_atom_site_fract_z
Ca1 Ca 0.000 0.000 0.000
Ca2 Ca 0.500 0.500 0.349
Al1 Al 0.500 0.500 0.768
In1 In 0.000 0.000 0.595

***

Formation energy from the elements values, unit kcal/mol of atoms, following the record order: -8.18, 20.49, 2.48, -3.46.
Total magnetization values, unit μB/cell, following the record order: 0.00, 1.23, 0.59, 0.00.